The following is a PBE calculation of Pb4SCl5 after structural relaxation, from the Alexandria database.

Cell: 9.6148 9.6148 8.4860 Å, 91.39 91.39 25.59°
Closest atoms and distances in Å follow each position.
Atoms (fractional coordinates):
Pb 0.0022 0.0022 0.2443  4 Cl 2.88-3.04, 2 S 2.97
Pb 0.3346 0.3346 0.9923  4 Cl 2.93-2.94, 1 S 3.10
Pb 0.6654 0.6654 0.0077  4 Cl 2.93-2.94, 1 S 3.10
Pb 0.9978 0.9978 0.7557  4 Cl 2.88-3.04, 2 S 2.97
S 0.5000 0.5000 0.0000  6 Pb 2.97-3.10
Cl 0.1515 0.1515 0.7693  3 Pb 2.88-2.94
Cl 0.1570 0.1570 0.2445  3 Pb 2.90-2.93
Cl 0.5000 0.5000 0.5000  4 Pb 3.04
Cl 0.8430 0.8430 0.7555  3 Pb 2.90-2.93
Cl 0.8485 0.8485 0.2307  3 Pb 2.88-2.94

Calculated values
M_tot (μB per cell): 0.00
E (eV/cell): -36.9
Formation energy from raw total energies (eV/atom): -0.868